Density functional theory data (GGA-PBE) for a relaxed structure of PrPaPd6.

```
PrPaPd6
1.0
-2.982 1.230 -2.664
2.346 -1.282 -3.218
-3.529 -7.583 0.450
Pd Pr Pa
6 1 1
direct
0.500 0.000 0.262
0.500 0.000 0.738
0.500 0.500 0.500
0.000 0.500 0.738
0.000 0.500 0.262
0.500 0.500 0.000
0.000 0.000 0.000
0.000 0.000 0.500
```

Computed properties:
Distance to the lowest polymorph of the same formula: 0.0 meV/atom
Density of states at the Fermi level: 3.28 states/eV/f.u.
DFT formation energy: -791 meV/atom

=====

Density functional theory data (GGA-PBE) for a relaxed structure of Mn2FeHRh.

```
Mn2FeHRh
1.0
-1.908 -2.986 0.812
2.714 -2.073 -1.247
1.481 -0.048 3.303
Mn Rh H Fe
2 1 1 1
direct
0.000 0.500 0.000
0.500 0.000 0.000
0.500 0.500 0.500
0.000 0.000 0.000
0.000 0.000 0.500
```

Computed properties:
Distance to the lowest polymorph of the same formula: 35.1 meV/atom
Density of states at the Fermi level: 5.77 states/eV/f.u.

=====

Density functional theory data (GGA-PBE) for a relaxed structure of NdEr5Tm12.

```
NdEr5Tm12
1.0
2.636 -5.264 -1.538
3.353 5.055 0.477
4.793 -3.476 16.095
Tm Er Nd
12 5 1
direct
0.778 0.444 0.667
0.944 0.610 0.168
0.444 0.778 0.667
0.111 0.111 0.668
0.278 0.278 0.168
0.722 0.722 0.832
0.056 0.390 0.832
0.222 0.556 0.333
0.610 0.944 0.168
0.889 0.889 0.332
0.390 0.056 0.832
0.556 0.222 0.333
0.834 0.166 0.500
0.667 0.333 0.000
0.333 0.667 0.000
0.500 0.500 0.500
0.166 0.834 0.500
0.000 0.000 0.000
```

Computed properties:
Density of states at the Fermi level: 24.73 states/eV/f.u.
DFT formation energy: 14 meV/atom

=====

Density functional theory data (GGA-PBE) for a relaxed structure of YB2Os.

```
YB2Os
1.0
-2.679 1.892 -2.895
2.259 -1.816 -3.277
-4.254 -5.371 -2.878
B Os Y
4 2 2
direct
0.375 0.125 0.750
0.875 0.625 0.250
0.875 0.125 0.750
0.875 0.125 0.250
0.750 0.250 0.500
0.000 0.000 0.000
0.250 0.750 0.500
0.500 0.500 0.000
```

Computed properties:
Distance to the lowest polymorph of the same formula: 320.9 meV/atom
Density of states at the Fermi level: 1.48 states/eV/f.u.
DFT formation energy: -244 meV/atom

=====

Going through the records in order, we get total moment values of 0.3, 0.2, 0.0, 0.0 μB per cell.